GGA-PBE Sn2ICl2, optimized geometry; energy relative to the elements, uncorrected = -491 meV per atom; magnetic moment = 0.00 μB/f.u.; SG = I4/mmm, No. 139; energy above the most stable polymorph in this dataset = 0 meV/atom; DOS(E_F) = 3.06 states/eV/cell; crystal system = tetragonal
1.0
4.933 0.000 0.000
0.000 4.933 0.000
2.467 2.467 6.353
I Sn Cl
1 2 2
direct
0.000 0.000 0.000
0.630 0.630 0.741
0.370 0.370 0.259
0.250 0.750 0.500
0.750 0.250 0.500